TbTiZnGa PBE optimized geometry; formation enthalpy at 0 K = -0.30 eV per atom; space-group type = F-43m, No. 216; V = 77 Å³/f.u.
1.0
0.000 3.370 3.370
3.370 0.000 3.370
3.370 3.370 0.000
Tb Ti Zn Ga
1 1 1 1
Direct
0.000 0.000 0.000
0.500 0.500 0.500
0.250 0.250 0.250
0.750 0.750 0.750


Tb2TlGa2 PBE optimized geometry; formation enthalpy at 0 K = -0.53 eV per atom; space-group type = P4/mbm, No. 127; V = 119 Å³/f.u.; offset from the most stable computed form = 0 meV/atom
1.0
7.335 0.000 0.000
0.000 7.335 0.000
0.000 0.000 4.413
Tb Tl Ga
4 2 4
Direct
0.172 0.328 0.000
0.328 0.828 0.000
0.672 0.172 0.000
0.828 0.672 0.000
0.000 0.000 0.500
0.500 0.500 0.500
0.124 0.624 0.500
0.376 0.124 0.500
0.624 0.876 0.500
0.876 0.376 0.500


Tb5Tl2Ga2 PBE optimized geometry; formation enthalpy at 0 K = -0.45 eV per atom; space-group type = Cmce, No. 64; V = 245 Å³/f.u.
1.0
8.106 -3.917 0.000
8.106 3.917 0.000
0.000 0.000 7.729
Tb Tl Ga
10 4 4
Direct
0.000 0.000 0.000
0.057 0.684 0.677
0.184 0.557 0.177
0.316 0.943 0.677
0.443 0.816 0.177
0.500 0.500 0.500
0.557 0.184 0.823
0.684 0.057 0.323
0.816 0.443 0.823
0.943 0.316 0.323
0.220 0.220 0.000
0.280 0.280 0.500
0.720 0.720 0.500
0.780 0.780 0.000
0.118 0.882 0.381
0.382 0.618 0.881
0.618 0.382 0.119
0.882 0.118 0.619


TbTlGa2 PBE optimized geometry; formation enthalpy at 0 K = 0.18 eV per atom; space-group type = R-3m, No. 166; V = 138 Å³/f.u.; offset from the most stable computed form = 567 meV/atom
1.0
2.474 1.428 6.490
-2.474 1.428 6.490
0.000 -2.857 6.490
Tb Tl Ga
1 1 2
Direct
0.000 0.000 0.000
0.500 0.500 0.500
0.357 0.357 0.357
0.643 0.643 0.643


Tb4Tl2Ga PBE optimized geometry; formation enthalpy at 0 K = -0.22 eV per atom; space-group type = P-1, No. 2; V = 205 Å³/f.u.; offset from the most stable computed form = 47 meV/atom
1.0
6.991 0.000 0.000
3.475 7.627 0.000
3.493 0.046 7.687
Tb Tl Ga
8 4 2
Direct
0.176 0.307 0.343
0.178 0.836 0.807
0.211 0.285 0.783
0.280 0.716 0.217
0.720 0.284 0.783
0.789 0.715 0.217
0.822 0.164 0.193
0.824 0.693 0.657
0.000 0.000 0.500
0.500 0.000 0.000
0.500 0.000 0.500
0.500 0.500 0.500
0.252 0.494 0.002
0.748 0.506 0.998


Tb12TlGa6 PBE optimized geometry; formation enthalpy at 0 K = -0.38 eV per atom; space-group type = Im-3, No. 204; V = 519 Å³/f.u.
1.0
-5.063 5.063 5.063
5.063 -5.063 5.063
5.063 5.063 -5.063
Tb Tl Ga
12 1 6
Direct
0.104 0.811 0.294
0.189 0.294 0.483
0.189 0.706 0.896
0.294 0.104 0.811
0.294 0.483 0.189
0.483 0.189 0.294
0.517 0.811 0.706
0.706 0.517 0.811
0.706 0.896 0.189
0.811 0.294 0.104
0.811 0.706 0.517
0.896 0.189 0.706
0.000 0.000 0.000
0.122 0.622 0.500
0.378 0.500 0.878
0.500 0.122 0.622
0.500 0.878 0.378
0.622 0.500 0.122
0.878 0.378 0.500


Tb7Tl2Ga2 PBE optimized geometry; formation enthalpy at 0 K = -0.07 eV per atom; space-group type = Cmmm, No. 65; V = 329 Å³/f.u.
1.0
3.769 -5.460 0.000
3.769 5.460 0.000
0.000 0.000 7.986
Tb Tl Ga
7 2 2
Direct
0.000 0.000 0.000
0.000 0.500 0.298
0.000 0.500 0.702
0.500 0.000 0.298
0.500 0.000 0.702
0.500 0.500 0.283
0.500 0.500 0.717
0.299 0.701 0.000
0.701 0.299 0.000
0.169 0.169 0.500
0.831 0.831 0.500


Tb12Tl3Ga PBE optimized geometry; formation enthalpy at 0 K = -0.20 eV per atom; space-group type = P4/mmm, No. 123; V = 452 Å³/f.u.
1.0
4.834 0.000 0.000
0.000 4.834 0.000
0.000 0.000 19.350
Tb Tl Ga
12 3 1
Direct
0.000 0.000 0.000
0.000 0.000 0.246
0.000 0.000 0.500
0.000 0.000 0.754
0.000 0.500 0.119
0.000 0.500 0.374
0.000 0.500 0.626
0.000 0.500 0.881
0.500 0.000 0.119
0.500 0.000 0.374
0.500 0.000 0.626
0.500 0.000 0.881
0.500 0.500 0.247
0.500 0.500 0.500
0.500 0.500 0.753
0.500 0.500 0.000


Tb2TlGa2 PBE optimized geometry; formation enthalpy at 0 K = -0.53 eV per atom; space-group type = Cmmm, No. 65; V = 118 Å³/f.u.; offset from the most stable computed form = 3 meV/atom
1.0
2.133 -7.584 0.000
2.133 7.584 0.000
0.000 0.000 3.650
Tb Tl Ga
2 1 2
Direct
0.127 0.873 0.000
0.873 0.127 0.000
0.500 0.500 0.500
0.297 0.703 0.500
0.703 0.297 0.500


Tb5Tl2Ga PBE optimized geometry; formation enthalpy at 0 K = -0.30 eV per atom; space-group type = I4/mcm, No. 140; V = 228 Å³/f.u.; offset from the most stable computed form = 67 meV/atom
1.0
-4.006 4.006 7.118
4.006 -4.006 7.118
4.006 4.006 -7.118
Tb Tl Ga
10 4 2
Direct
0.000 0.000 0.000
0.009 0.509 0.828
0.181 0.009 0.500
0.319 0.819 0.828
0.491 0.319 0.500
0.500 0.500 0.000
0.509 0.681 0.500
0.681 0.181 0.172
0.819 0.991 0.500
0.991 0.491 0.172
0.133 0.367 0.500
0.367 0.867 0.233
0.633 0.133 0.767
0.867 0.633 0.500
0.250 0.250 0.000
0.750 0.750 0.000


Tb7Tl2Ga PBE optimized geometry; formation enthalpy at 0 K = -0.11 eV per atom; space-group type = P3m1, No. 156; V = 302 Å³/f.u.
1.0
5.226 0.000 0.000
-2.613 4.526 0.000
0.000 0.000 12.784
Tb Tl Ga
7 2 1
Direct
0.000 0.000 0.000
0.000 0.000 0.254
0.000 0.000 0.733
0.333 0.667 0.392
0.333 0.667 0.887
0.667 0.333 0.127
0.667 0.333 0.572
0.000 0.000 0.493
0.667 0.333 0.842
0.333 0.667 0.140


TbTlGa2 PBE optimized geometry; formation enthalpy at 0 K = -0.39 eV per atom; space-group type = P4/mmm, No. 123; V = 89 Å³/f.u.; offset from the most stable computed form = 0 meV/atom
1.0
4.528 0.000 0.000
0.000 4.528 0.000
0.000 0.000 4.351
Tb Tl Ga
1 1 2
Direct
0.000 0.000 0.000
0.500 0.500 0.000
0.000 0.500 0.500
0.500 0.000 0.500


Tb7Tl3Ga PBE optimized geometry; formation enthalpy at 0 K = -0.14 eV per atom; space-group type = Immm, No. 71; V = 321 Å³/f.u.
1.0
-2.873 4.850 5.754
2.873 -4.850 5.754
2.873 4.850 -5.754
Tb Tl Ga
7 3 1
Direct
0.000 0.000 0.000
0.097 0.770 0.327
0.307 0.500 0.807
0.442 0.770 0.673
0.558 0.230 0.327
0.693 0.500 0.193
0.903 0.230 0.673
0.271 0.271 0.000
0.500 0.000 0.500
0.729 0.729 0.000
0.000 0.500 0.500


Tb11Tl9Ga4 PBE optimized geometry; formation enthalpy at 0 K = -0.40 eV per atom; space-group type = Cmmm, No. 65; V = 627 Å³/f.u.
1.0
7.399 -11.204 0.000
7.399 11.204 0.000
0.000 0.000 3.783
Tb Tl Ga
11 9 4
Direct
0.000 0.000 0.000
0.068 0.412 0.000
0.165 0.835 0.000
0.299 0.299 0.000
0.369 0.631 0.000
0.412 0.068 0.000
0.588 0.932 0.000
0.631 0.369 0.000
0.701 0.701 0.000
0.835 0.165 0.000
0.932 0.588 0.000
0.060 0.212 0.500
0.151 0.629 0.500
0.212 0.060 0.500
0.371 0.849 0.500
0.500 0.500 0.500
0.629 0.151 0.500
0.788 0.940 0.500
0.849 0.371 0.500
0.940 0.788 0.500
0.250 0.448 0.500
0.448 0.250 0.500
0.552 0.750 0.500
0.750 0.552 0.500


Tb5TlGa4 PBE optimized geometry; formation enthalpy at 0 K = -0.54 eV per atom; space-group type = P4/mmm, No. 123; V = 240 Å³/f.u.
1.0
3.596 0.000 0.000
0.000 3.596 0.000
0.000 0.000 18.537
Tb Tl Ga
5 1 4
Direct
0.000 0.000 0.000
0.000 0.000 0.192
0.000 0.000 0.387
0.000 0.000 0.613
0.000 0.000 0.808
0.500 0.500 0.500
0.500 0.500 0.096
0.500 0.500 0.290
0.500 0.500 0.710
0.500 0.500 0.904


Tb5Tl2Ga PBE optimized geometry; formation enthalpy at 0 K = -0.37 eV per atom; space-group type = Pbam, No. 55; V = 223 Å³/f.u.; offset from the most stable computed form = 0 meV/atom
1.0
6.852 0.000 0.000
0.000 12.885 0.000
0.000 0.000 5.060
Tb Tl Ga
10 4 2
Direct
0.000 0.000 0.000
0.136 0.280 0.000
0.165 0.594 0.500
0.335 0.094 0.500
0.364 0.780 0.000
0.500 0.500 0.000
0.636 0.220 0.000
0.665 0.906 0.500
0.835 0.406 0.500
0.864 0.720 0.000
0.114 0.845 0.500
0.386 0.345 0.500
0.614 0.655 0.500
0.886 0.155 0.500
0.000 0.500 0.000
0.500 0.000 0.000


Tb6Tl2Ga PBE optimized geometry; formation enthalpy at 0 K = -0.30 eV per atom; space-group type = P-62m, No. 189; V = 260 Å³/f.u.
1.0
8.378 0.000 0.000
-4.189 7.256 0.000
0.000 0.000 4.282
Tb Tl Ga
6 2 1
Direct
0.000 0.401 0.000
0.000 0.749 0.500
0.251 0.251 0.500
0.401 0.000 0.000
0.599 0.599 0.000
0.749 0.000 0.500
0.333 0.667 0.500
0.667 0.333 0.500
0.000 0.000 0.000


Tb8TlGa2 PBE optimized geometry; formation enthalpy at 0 K = -0.26 eV per atom; space-group type = C2/m, No. 12; V = 307 Å³/f.u.
1.0
8.445 -2.462 0.000
8.445 2.462 0.000
-2.900 0.000 7.380
Tb Tl Ga
8 1 2
Direct
0.051 0.051 0.234
0.169 0.169 0.750
0.321 0.321 0.548
0.399 0.399 0.041
0.601 0.601 0.959
0.679 0.679 0.452
0.831 0.831 0.250
0.949 0.949 0.766
0.500 0.500 0.500
0.214 0.214 0.160
0.786 0.786 0.840


Tb7TlGa5 PBE optimized geometry; formation enthalpy at 0 K = -0.38 eV per atom; space-group type = Imm2, No. 44; V = 330 Å³/f.u.
1.0
-3.135 5.064 5.196
3.135 -5.064 5.196
3.135 5.064 -5.196
Tb Tl Ga
7 1 5
Direct
0.000 0.000 0.000
0.334 0.656 0.678
0.362 0.362 0.000
0.448 0.128 0.320
0.807 0.128 0.680
0.874 0.374 0.500
0.978 0.656 0.322
0.676 0.676 0.000
0.143 0.142 0.492
0.143 0.651 0.001
0.388 0.888 0.500
0.650 0.142 0.999
0.650 0.651 0.508


Tb4TlGa2 PBE optimized geometry; formation enthalpy at 0 K = -0.24 eV per atom; space-group type = R-3m, No. 166; V = 200 Å³/f.u.
1.0
2.513 1.451 9.139
-2.513 1.451 9.139
0.000 -2.901 9.139
Tb Tl Ga
4 1 2
Direct
0.118 0.118 0.118
0.296 0.296 0.296
0.704 0.704 0.704
0.882 0.882 0.882
0.500 0.500 0.500
0.401 0.401 0.401
0.599 0.599 0.599


Record order is preserved below.
D(E_F): 1.425, 5.734, 12.959, 1.818, 13.602, 14.774, 14.754, 23.358, 2.993, 13.922, 13.048, 1.844, 11.060, 14.645, 3.939, 14.569, 10.692, 11.747, 8.920, 4.909 states/eV per cell
Record order is preserved below.
Total DFT energy (no corrections): -4.50, -4.07, -4.22, -3.08, -3.97, -4.39, -3.99, -4.30, -4.07, -4.16, -4.13, -3.65, -4.01, -3.91, -4.30, -4.23, -4.25, -4.40, -4.21, -4.09 eV per atom